Version i
Density functional theory data (GGA-PBE) for crystalline Zr2Ag2As at its relaxed geometry.

Calculated values
- SG = I4/mmm

Lattice parameters (Å, degrees): 7.2027 7.2027 7.2027 146.51 146.51 48.09
Atoms (fractional coordinates):
Zr: 0.2500 0.7500 0.5000
Zr: 0.7500 0.2500 0.5000
Ag: 0.0979 0.0979 0.0000
Ag: 0.9021 0.9021 0.0000
As: 0.5000 0.5000 0.0000

Version ii
Density functional theory data (GGA-PBE) for crystalline Zr2Ag2As at its relaxed geometry.

Calculated values
- SG = P4/mbm

Lattice parameters (Å, degrees): 7.0395 7.0395 4.3915 90.00 90.00 90.00
Atoms (fractional coordinates):
Zr: 0.1590 0.3410 0.0000
Zr: 0.3410 0.8410 0.0000
Zr: 0.6590 0.1590 0.0000
Zr: 0.8410 0.6590 0.0000
Ag: 0.1396 0.6396 0.5000
Ag: 0.3604 0.1396 0.5000
Ag: 0.6396 0.8604 0.5000
Ag: 0.8604 0.3604 0.5000
As: 0.0000 0.0000 0.0000
As: 0.5000 0.5000 0.0000

Most favorable structure: version ii. The second most favorable one is 551 meV per atom above it.

Version i
Density functional theory data (GGA-PBE) for crystalline Ag3Au2 at its relaxed geometry.

Calculated values
- SG = C2/m

Lattice parameters (Å, degrees): 5.0776 5.0776 6.5689 129.88 129.88 48.00
Atoms (fractional coordinates):
Ag: 0.0000 0.0000 0.0000
Ag: 0.4003 0.4003 0.1996
Ag: 0.5997 0.5997 0.8004
Au: 0.1997 0.1997 0.6005
Au: 0.8003 0.8003 0.3995

Version ii
Density functional theory data (GGA-PBE) for crystalline Ag3Au2 at its relaxed geometry.

Calculated values
- SG = R-3m

Lattice parameters (Å, degrees): 4.8901 4.8901 4.8901 68.87 68.87 68.87
Atoms (fractional coordinates):
Ag: 0.0000 0.5000 0.5000
Ag: 0.5000 0.0000 0.5000
Ag: 0.5000 0.5000 0.0000
Au: 0.1230 0.1230 0.1230
Au: 0.8770 0.8770 0.8770

Most favorable structure: version i. The second most favorable one is 135 meV per atom above it.

Version i
Density functional theory data (GGA-PBE) for crystalline Ag3Au2 at its relaxed geometry.

Calculated values
- SG = P-3m1

Lattice parameters (Å, degrees): 4.5956 4.5956 5.5889 90.00 90.00 120.00
Atoms (fractional coordinates):
Ag: 0.0000 0.0000 0.0000
Ag: 0.3333 0.6667 0.3566
Ag: 0.6667 0.3333 0.6434
Au: 0.3333 0.6667 0.8489
Au: 0.6667 0.3333 0.1511

Version ii
Density functional theory data (GGA-PBE) for crystalline Ag3Au2 at its relaxed geometry.

Calculated values
- SG = Fdd2

Lattice parameters (Å, degrees): 7.5954 5.5979 8.7159 59.44 39.39 81.17
Atoms (fractional coordinates):
Ag: 0.0000 0.0000 0.0000
Ag: 0.2500 0.2500 0.2500
Ag: 0.3856 0.6399 0.4161
Ag: 0.6399 0.3856 0.5584
Ag: 0.6916 0.8339 0.6101
Ag: 0.8339 0.6916 0.8644
Au: 0.1005 0.4728 0.9948
Au: 0.2552 0.8181 0.1495
Au: 0.4728 0.1005 0.4319
Au: 0.8181 0.2552 0.7772

Version iii
Density functional theory data (GGA-PBE) for crystalline Ag3Au2 at its relaxed geometry.

Calculated values
- SG = Immm

Lattice parameters (Å, degrees): 7.8690 7.8690 7.8690 158.61 149.67 37.41
Atoms (fractional coordinates):
Ag: 0.0000 0.0000 0.0000
Ag: 0.2001 0.2001 0.0000
Ag: 0.7999 0.7999 0.0000
Au: 0.3995 0.3995 0.0000
Au: 0.6005 0.6005 0.0000

Most favorable structure: version iii. The second most favorable one is 50 meV per atom above it.

Version i
Density functional theory data (GGA-PBE) for crystalline Ag3Au2 at its relaxed geometry.

Calculated values
- SG = Cmce

Lattice parameters (Å, degrees): 4.8919 4.8919 8.8742 90.00 90.00 111.55
Atoms (fractional coordinates):
Ag: 0.0000 0.0000 0.0000
Ag: 0.1247 0.3753 0.2500
Ag: 0.3753 0.1247 0.7500
Ag: 0.5000 0.5000 0.5000
Ag: 0.6247 0.8753 0.2500
Ag: 0.8753 0.6247 0.7500
Au: 0.1595 0.8405 0.4534
Au: 0.3405 0.6595 0.9534
Au: 0.6595 0.3405 0.0466
Au: 0.8405 0.1595 0.5466

Version ii
Density functional theory data (GGA-PBE) for crystalline Ag3Au2 at its relaxed geometry.

Calculated values
- SG = I4/mmm

Lattice parameters (Å, degrees): 10.7219 10.7219 10.7219 164.36 164.36 22.18
Atoms (fractional coordinates):
Ag: 0.0000 0.0000 0.0000
Ag: 0.2003 0.2003 0.0000
Ag: 0.7997 0.7997 0.0000
Au: 0.4000 0.4000 0.0000
Au: 0.6000 0.6000 0.0000

Most favorable structure: version ii. The second most favorable one is 139 meV per atom above it.

Version i
Density functional theory data (GGA-PBE) for crystalline AgAu4 at its relaxed geometry.

Calculated values
- SG = I4/mmm

Lattice parameters (Å, degrees): 10.7098 10.7098 10.7098 164.30 164.30 22.27
Atoms (fractional coordinates):
Ag: 0.0000 0.0000 0.0000
Au: 0.2000 0.2000 0.0000
Au: 0.4007 0.4007 0.0000
Au: 0.5993 0.5993 0.0000
Au: 0.8000 0.8000 0.0000

Version ii
Density functional theory data (GGA-PBE) for crystalline AgAu4 at its relaxed geometry.

Calculated values
- SG = Pm-3m

Lattice parameters (Å, degrees): 5.0479 5.0479 5.0479 90.00 90.00 90.00
Atoms (fractional coordinates):
Ag: 0.0000 0.0000 0.0000
Au: 0.0000 0.0000 0.5000
Au: 0.0000 0.5000 0.0000
Au: 0.5000 0.0000 0.0000
Au: 0.5000 0.5000 0.5000

Version iii
Density functional theory data (GGA-PBE) for crystalline AgAu4 at its relaxed geometry.

Calculated values
- SG = Im-3m

Lattice parameters (Å, degrees): 5.2828 5.2828 5.2828 109.47 109.47 109.47
Atoms (fractional coordinates):
Ag: 0.0000 0.0000 0.0000
Au: 0.0000 0.0000 0.5000
Au: 0.0000 0.5000 0.0000
Au: 0.5000 0.0000 0.0000
Au: 0.5000 0.5000 0.5000

Most favorable structure: version i. The second most favorable one is 421 meV per atom above it.

Version i
Density functional theory data (GGA-PBE) for crystalline AgAu4 at its relaxed geometry.

Calculated values
- SG = R-3m

Lattice parameters (Å, degrees): 11.8994 11.8994 11.8994 14.36 14.36 14.36
Atoms (fractional coordinates):
Ag: 0.0000 0.0000 0.0000
Au: 0.2000 0.2000 0.2000
Au: 0.3995 0.3995 0.3995
Au: 0.6005 0.6005 0.6005
Au: 0.8000 0.8000 0.8000

Version ii
Density functional theory data (GGA-PBE) for crystalline AgAu4 at its relaxed geometry.

Calculated values
- SG = I4/m

Lattice parameters (Å, degrees): 5.0776 5.0776 5.0776 99.92 99.92 130.96
Atoms (fractional coordinates):
Ag: 0.0000 0.0000 0.0000
Au: 0.2005 0.5999 0.8004
Au: 0.4001 0.2005 0.6007
Au: 0.5999 0.7995 0.3993
Au: 0.7995 0.4001 0.1996

Version iii
Density functional theory data (GGA-PBE) for crystalline AgAu4 at its relaxed geometry.

Calculated values
- SG = Immm

Lattice parameters (Å, degrees): 7.9041 7.9041 7.9041 158.64 149.96 37.16
Atoms (fractional coordinates):
Ag: 0.0000 0.0000 0.0000
Au: 0.1999 0.1999 0.0000
Au: 0.4010 0.4010 0.0000
Au: 0.5990 0.5990 0.0000
Au: 0.8001 0.8001 0.0000

Most favorable structure: version ii. The second most favorable one is 8 meV per atom above it.